# 1
Computed, not measured: a geometry-optimized TaNiH structure at the PBE level of DFT.

Geometry as POSCAR:
```
TaNiH
1.0
4.273 0.000 -0.001
0.000 2.881 0.000
-0.123 0.000 10.176
Ta Ni H
4 4 4
direct
0.113 0.000 0.039
0.113 0.500 0.539
0.647 0.000 0.350
0.647 0.500 0.850
0.119 0.000 0.754
0.119 0.500 0.254
0.619 0.000 0.626
0.619 0.500 0.126
0.645 0.000 0.014
0.645 0.500 0.514
0.350 0.000 0.881
0.350 0.500 0.381
```

Results
Space-group type   Cm, No. 8

***

# 2
Computed, not measured: a geometry-optimized TaNiH structure at the PBE level of DFT.

Geometry as POSCAR:
```
TaNiH
1.0
3.056 0.000 0.000
0.000 3.056 0.000
0.000 0.000 6.779
Ta Ni H
2 2 2
direct
0.000 0.500 0.803
0.500 0.000 0.197
0.000 0.500 0.409
0.500 0.000 0.591
0.000 0.000 0.000
0.500 0.500 0.000
```

Results
Space-group type   P4/nmm, No. 129

***

# 3
Computed, not measured: a geometry-optimized TaNi3H structure at the PBE level of DFT.

Geometry as POSCAR:
```
TaNi3H
1.0
-3.494 2.097 -3.302
1.697 -4.939 -0.767
-3.310 -4.270 0.791
Ta Ni H
2 6 2
direct
0.721 0.505 0.708
0.216 0.495 0.292
0.721 0.006 0.244
0.216 0.994 0.756
0.222 0.006 0.244
0.219 0.502 0.752
0.714 0.994 0.756
0.717 0.498 0.248
0.468 0.500 0.000
0.968 0.500 0.000
```

Results
Space-group type   C2/m, No. 12

***

The records above give, respectively, total magnetization values of 0.000; 0.000; 0.000 μB/f.u..
The records above give, respectively, total DFT energy (no corrections) values of -7.1476; -7.2061; -6.6424 eV/atom.
The records above give, respectively, DOS at the Fermi energy values of 8.2; 2.8; 5.9 states/eV/cell.